# KHf2MnPt (PBE-GGA, relaxed)
# DFT formation energy, kJ per mole of atoms: 50
# Magnetization, μB per cell: 3.23
# D(E_F), states/eV per cell: 4.859
# Density, kg/m³: 7886
# Volume, A^3/atom: 27.21
data_KHf2MnPt
_chemical_formula_sum 'K1 Hf2 Mn1 Pt1'
_space_group_name_H-M_alt 'P 1'
_space_group_IT_number 1
_space_group_name_Hall 'P 1'
_cell_length_a 5.140
_cell_length_b 5.149
_cell_length_c 5.140
_cell_angle_alpha 90.00
_cell_angle_beta 90.00
_cell_angle_gamma 90.00
loop_
_atom_site_label
_atom_site_fract_x
_atom_site_fract_y
_atom_site_fract_z
_atom_site_occupancy
K1 0.500 0.500 0.500 1
Mn1 0.000 0.500 0.000 1
Hf1 0.000 0.000 0.500 1
Hf2 0.500 0.000 0.000 1
Pt1 0.000 0.000 0.000 1